No. 1
Material: Y3Tc
Method: DFT, PBE-GGA
State: relaxed

The structure in extended XYZ format:
```
4
Lattice="-2.793 -0.515 2.023 -0.222 -8.888 -5.576 0.386 -1.332 3.199" Properties=species:S:1:pos:R:3 pbc="T T T"
Tc 0.000 0.000 0.000
Y -1.806 -3.101 2.726
Y -0.823 -7.634 -3.081
Y -1.314 -5.368 -0.177
```

Uncorrected energy: -7.237 eV per atom
Size of the total moment: 0.0 Bohr magnetons per cell
SG: R-3m

---

No. 2
Material: Li2AlW
Method: DFT, PBE-GGA
State: relaxed

The structure in extended XYZ format:
```
4
Lattice="-2.560 -0.159 -0.564 -0.754 -2.074 4.011 -0.786 4.650 2.256" Properties=species:S:1:pos:R:3 pbc="T T T"
Li -0.385 2.275 1.104
W -1.853 0.046 2.288
Li -0.008 0.050 0.024
Al -2.247 2.371 3.416
```

Uncorrected energy: -4.757 eV per atom
Size of the total moment: 0.0 Bohr magnetons per cell
SG: Pmmm

---

No. 3
Material: Cs2PuMgBr6
Method: DFT, PBE-GGA
State: relaxed

The structure in extended XYZ format:
```
20
Lattice="-6.563 -4.441 1.392 3.200 -2.559 6.924 -4.779 8.770 5.449" Properties=species:S:1:pos:R:3 pbc="T T T"
Br -4.072 3.196 3.162
Cs -2.785 5.938 5.817
Pu -2.480 -2.861 2.430
Br -7.203 1.078 3.826
Br -5.677 -0.146 7.133
Cs -2.076 -1.947 7.252
Br -1.239 4.758 9.341
Br -3.730 -0.569 3.851
Br 0.070 -2.370 3.876
Br -6.012 3.618 6.453
Br 1.259 0.175 6.493
Br -1.832 -5.914 7.910
Cs -0.395 1.553 3.093
Br 1.600 -3.591 7.182
Br -2.542 1.976 6.468
Mg -4.872 1.525 5.149
Pu 0.009 2.467 7.915
Cs -4.466 2.438 9.976
Br -3.358 -4.690 4.603
Mg 2.401 -1.920 5.195
```

Uncorrected energy: -4.347 eV per atom
Size of the total moment: 12.0 Bohr magnetons per cell
SG: Pmmn

---

No. 4
Material: Nd7Sm2Dy3
Method: DFT, PBE-GGA
State: relaxed

The structure in extended XYZ format:
```
12
Lattice="-1.172 -0.524 3.344 6.094 -1.140 1.957 6.506 16.341 4.840" Properties=species:S:1:pos:R:3 pbc="T T T"
Nd 4.147 7.717 4.581
Nd 7.281 6.960 5.561
Dy 9.682 9.766 4.923
Nd 0.865 2.462 2.607
Dy 2.918 5.435 1.874
Sm 5.289 4.429 4.466
Nd 0.000 0.000 0.000
Sm 6.139 10.248 5.675
Nd 10.563 12.215 7.534
Nd 8.124 13.127 4.903
Nd 4.476 2.074 1.894
Dy 2.461 -0.832 2.651
```

Energy relative to the lowest polymorph listed for this composition: 0.00 eV per formula unit
Uncorrected energy: -4.651 eV per atom
Size of the total moment: 0.0 Bohr magnetons per cell
SG: P2/m